This record from Alexandria via LeMat-Bulk describes a relaxed structure of AgF3. The functional is PBE-GGA.

Values from the calculation:
**Formation energy from raw total energies**: -0.48 eV/atom
**E above lowest polymorph**: 532.7 meV/atom
**Total energy**: -2.593 eV/atom

abc: 3.262 3.262 4.538
angles: 90.00 90.00 90.00
Positions (direct):
Ag1 0.000 0.000 0.000
F1 0.000 0.500 0.500
F2 0.500 0.000 0.500
F3 0.500 0.500 0.000

This record from Alexandria via LeMat-Bulk describes a relaxed structure of FeAgS3. The functional is PBE-GGA.

Values from the calculation:
**Formation energy from raw total energies**: 0.47 eV/atom
**E above lowest polymorph**: 0.0 meV/atom
**Total energy**: -4.272 eV/atom

abc: 4.461 4.461 4.461
angles: 90.00 90.00 90.00
Positions (direct):
Fe1 0.000 0.000 0.000
Ag1 0.500 0.500 0.500
S1 0.000 0.000 0.500
S2 0.000 0.500 0.000
S3 0.500 0.000 0.000

This record from Alexandria via LeMat-Bulk describes a relaxed structure of ErPaC. The functional is PBE-GGA.

Values from the calculation:
**E above lowest polymorph**: 0.0 meV/atom
**Total energy**: -7.982 eV/atom

abc: 3.464 3.464 6.111
angles: 90.00 90.00 120.00
Positions (direct):
Er1 0.000 0.000 0.000
Pa1 0.667 0.333 0.544
C1 0.333 0.667 0.760

This record from Alexandria via LeMat-Bulk describes a relaxed structure of Pa2ZnIr2. The functional is PBE-GGA.

Values from the calculation:
**Total energy**: -8.184 eV/atom

abc: 8.348 8.348 6.844
angles: 90.00 90.00 153.39
Positions (direct):
Pa1 0.024 0.976 0.500
Pa2 0.202 0.798 0.829
Pa3 0.798 0.202 0.329
Pa4 0.976 0.024 0.000
Zn1 0.390 0.610 0.672
Zn2 0.610 0.390 0.172
Ir1 0.185 0.815 0.368
Ir2 0.430 0.570 0.294
Ir3 0.570 0.430 0.794
Ir4 0.815 0.185 0.868

This record from Alexandria via LeMat-Bulk describes a relaxed structure of RbSi2Ni2. The functional is PBE-GGA.

Values from the calculation:
**Formation energy from raw total energies**: -0.15 eV/atom
**E above lowest polymorph**: 0.0 meV/atom
**Total energy**: -4.823 eV/atom

abc: 7.063 7.063 7.063
angles: 146.66 146.66 47.87
Positions (direct):
Rb1 0.000 0.000 0.000
Si1 0.328 0.328 0.000
Si2 0.672 0.672 0.000
Ni1 0.250 0.750 0.500
Ni2 0.750 0.250 0.500

This record from Alexandria via LeMat-Bulk describes a relaxed structure of NaSrHgTe2. The functional is PBE-GGA.

Values from the calculation:
**Formation energy from raw total energies**: -0.85 eV/atom
**Total energy**: -2.769 eV/atom

abc: 8.170 5.040 8.764
angles: 90.00 102.26 90.00
Positions (direct):
Na1 0.000 0.017 0.250
Na2 0.000 0.983 0.750
Sr1 0.500 0.362 0.750
Sr2 0.500 0.638 0.250
Hg1 0.000 0.500 0.000
Hg2 0.000 0.500 0.500
Te1 0.305 0.145 0.021
Te2 0.305 0.855 0.521
Te3 0.695 0.145 0.479
Te4 0.695 0.855 0.979

This record from Alexandria via LeMat-Bulk describes a relaxed structure of AcAg2TeO2. The functional is PBE-GGA.

Values from the calculation:
**Formation energy from raw total energies**: -1.11 eV/atom
**Total energy**: -4.920 eV/atom

abc: 6.739 5.509 7.997
angles: 90.00 114.91 90.00
Positions (direct):
Ac1 0.220 0.250 0.091
Ac2 0.780 0.750 0.909
Ag1 0.184 0.750 0.718
Ag2 0.248 0.750 0.388
Ag3 0.752 0.250 0.612
Ag4 0.816 0.250 0.282
Te1 0.353 0.250 0.636
Te2 0.647 0.750 0.364
O1 0.016 0.001 0.830
O2 0.016 0.499 0.830
O3 0.984 0.501 0.170
O4 0.984 0.999 0.170

This record from Alexandria via LeMat-Bulk describes a relaxed structure of TlAs7. The functional is PBE-GGA.

Values from the calculation:
**Total energy**: -3.824 eV/atom

abc: 6.174 6.174 6.174
angles: 60.00 60.00 60.00
Positions (direct):
Tl1 0.000 0.000 0.000
As1 0.000 0.000 0.500
As2 0.000 0.500 0.000
As3 0.000 0.500 0.500
As4 0.500 0.000 0.000
As5 0.500 0.000 0.500
As6 0.500 0.500 0.000
As7 0.500 0.500 0.500

This record from Alexandria via LeMat-Bulk describes a relaxed structure of BHRu. The functional is PBE-GGA.

Values from the calculation:
**E above lowest polymorph**: 43.3 meV/atom
**Total energy**: -6.505 eV/atom

abc: 6.690 6.690 6.690
angles: 25.26 25.26 25.26
Positions (direct):
B1 0.000 0.000 0.000
B2 0.293 0.293 0.293
H1 0.181 0.181 0.181
H2 0.793 0.793 0.793
Ru1 0.401 0.401 0.401
Ru2 0.886 0.886 0.886

This record from Alexandria via LeMat-Bulk describes a relaxed structure of SrSc. The functional is PBE-GGA.

Values from the calculation:
**E above lowest polymorph**: 167.7 meV/atom
**Total energy**: -3.645 eV/atom

abc: 6.900 6.900 11.739
angles: 90.00 90.00 90.00
Positions (direct):
Sr1 0.078 0.193 0.144
Sr2 0.193 0.078 0.856
Sr3 0.307 0.578 0.894
Sr4 0.422 0.693 0.606
Sr5 0.578 0.307 0.106
Sr6 0.693 0.422 0.394
Sr7 0.807 0.922 0.356
Sr8 0.922 0.807 0.644
Sc1 0.056 0.304 0.591
Sc2 0.196 0.556 0.341
Sc3 0.304 0.056 0.409
Sc4 0.444 0.804 0.159
Sc5 0.556 0.196 0.659
Sc6 0.696 0.944 0.909
Sc7 0.804 0.444 0.841
Sc8 0.944 0.696 0.091

This record from Alexandria via LeMat-Bulk describes a relaxed structure of RuWAu. The functional is PBE-GGA.

Values from the calculation:
**E above lowest polymorph**: 61.6 meV/atom
**Total energy**: -8.242 eV/atom

abc: 2.844 4.522 7.666
angles: 90.00 100.56 90.00
Positions (direct):
Ru1 0.131 0.250 0.257
Ru2 0.869 0.750 0.743
W1 0.216 0.750 0.429
W2 0.784 0.250 0.571
Au1 0.442 0.250 0.895
Au2 0.558 0.750 0.105

This record from Alexandria via LeMat-Bulk describes a relaxed structure of AlGe2MoI. The functional is PBE-GGA.

Values from the calculation:
**Formation energy from raw total energies**: 0.41 eV/atom
**Total energy**: -4.664 eV/atom

abc: 4.956 4.956 5.196
angles: 90.00 90.00 90.00
Positions (direct):
Al1 0.000 0.000 0.000
Ge1 0.000 0.500 0.500
Ge2 0.500 0.000 0.500
Mo1 0.000 0.000 0.500
I1 0.500 0.500 0.000

This record from Alexandria via LeMat-Bulk describes a relaxed structure of Pm2Dy3Er6Sc. The functional is PBE-GGA.

Values from the calculation:
**Total energy**: -4.725 eV/atom

abc: 6.090 6.090 11.672
angles: 94.97 94.97 119.97
Positions (direct):
Pm1 0.166 0.834 0.000
Pm2 0.834 0.166 0.000
Dy1 0.000 0.000 0.500
Dy2 0.334 0.666 0.500
Dy3 0.666 0.334 0.500
Er1 0.086 0.417 0.750
Er2 0.253 0.253 0.250
Er3 0.417 0.086 0.750
Er4 0.583 0.914 0.250
Er5 0.747 0.747 0.750
Er6 0.914 0.583 0.250
Sc1 0.500 0.500 0.000

This record from Alexandria via LeMat-Bulk describes a relaxed structure of Ce5Tl2Ir2. The functional is PBE-GGA.

Values from the calculation:
**E above lowest polymorph**: 0.0 meV/atom
**Total energy**: -6.236 eV/atom

abc: 9.086 9.086 7.334
angles: 90.00 90.00 54.62
Positions (direct):
Ce1 0.000 0.000 0.000
Ce2 0.062 0.706 0.656
Ce3 0.206 0.562 0.156
Ce4 0.294 0.938 0.656
Ce5 0.438 0.794 0.156
Ce6 0.500 0.500 0.500
Ce7 0.562 0.206 0.844
Ce8 0.706 0.062 0.344
Ce9 0.794 0.438 0.844
Ce10 0.938 0.294 0.344
Tl1 0.217 0.217 0.000
Tl2 0.283 0.283 0.500
Tl3 0.717 0.717 0.500
Tl4 0.783 0.783 0.000
Ir1 0.119 0.881 0.353
Ir2 0.381 0.619 0.853
Ir3 0.619 0.381 0.147
Ir4 0.881 0.119 0.647

This record from Alexandria via LeMat-Bulk describes a relaxed structure of Fe2Ir4Rh3. The functional is PBE-GGA.

Values from the calculation:
**Total energy**: -8.287 eV/atom

abc: 7.214 7.214 7.232
angles: 115.05 115.05 21.77
Positions (direct):
Fe1 0.166 0.166 0.003
Fe2 0.834 0.834 0.997
Ir1 0.020 0.020 0.335
Ir2 0.316 0.316 0.668
Ir3 0.684 0.684 0.332
Ir4 0.980 0.980 0.665
Rh1 0.349 0.349 0.317
Rh2 0.500 0.500 0.000
Rh3 0.651 0.651 0.683

This record from Alexandria via LeMat-Bulk describes a relaxed structure of CaCBr. The functional is PBE-GGA.

Values from the calculation:
**Formation energy from raw total energies**: -0.55 eV/atom
**Total energy**: -4.850 eV/atom

abc: 8.911 8.911 8.911
angles: 151.66 150.07 41.69
Positions (direct):
Ca1 0.138 0.138 0.000
Ca2 0.862 0.862 0.000
C1 0.138 0.000 0.138
C2 0.862 0.000 0.862
Br1 0.322 0.322 0.000
Br2 0.678 0.678 0.000

This record from Alexandria via LeMat-Bulk describes a relaxed structure of ScIn2Hg. The functional is PBE-GGA.

Values from the calculation:
**Total energy**: -3.241 eV/atom

abc: 5.809 5.809 5.809
angles: 135.92 135.92 64.11
Positions (direct):
Sc1 0.000 0.000 0.000
In1 0.250 0.750 0.500
In2 0.750 0.250 0.500
Hg1 0.500 0.500 0.000

This record from Alexandria via LeMat-Bulk describes a relaxed structure of Ce2In3Pd4. The functional is PBE-GGA.

Values from the calculation:
**Total energy**: -5.173 eV/atom

abc: 9.124 9.124 7.366
angles: 90.00 90.00 141.04
Positions (direct):
Ce1 0.104 0.896 0.920
Ce2 0.396 0.604 0.420
Ce3 0.604 0.396 0.580
Ce4 0.896 0.104 0.080
In1 0.000 0.000 0.500
In2 0.013 0.487 0.750
In3 0.487 0.013 0.250
In4 0.500 0.500 0.000
In5 0.513 0.987 0.750
In6 0.987 0.513 0.250
Pd1 0.163 0.837 0.528
Pd2 0.176 0.324 0.750
Pd3 0.324 0.176 0.250
Pd4 0.337 0.663 0.028
Pd5 0.663 0.337 0.972
Pd6 0.676 0.824 0.750
Pd7 0.824 0.676 0.250
Pd8 0.837 0.163 0.472

This record from Alexandria via LeMat-Bulk describes a relaxed structure of Ho2BiSb. The functional is PBE-GGA.

Values from the calculation:
**Formation energy from raw total energies**: -0.86 eV/atom
**E above lowest polymorph**: 115.5 meV/atom
**Total energy**: -5.149 eV/atom

abc: 7.915 7.915 7.915
angles: 32.09 32.09 32.09
Positions (direct):
Ho1 0.000 0.000 0.000
Ho2 0.167 0.167 0.167
Bi1 0.585 0.585 0.585
Sb1 0.415 0.415 0.415

This record from Alexandria via LeMat-Bulk describes a relaxed structure of HoZnGaHg. The functional is PBE-GGA.

Values from the calculation:
**Total energy**: -2.592 eV/atom

abc: 4.902 4.902 4.902
angles: 60.00 60.00 60.00
Positions (direct):
Ho1 0.000 0.000 0.000
Zn1 0.500 0.500 0.500
Ga1 0.750 0.750 0.750
Hg1 0.250 0.250 0.250

This record from Alexandria via LeMat-Bulk describes a relaxed structure of Cs4Zn2Au. The functional is PBE-GGA.

Values from the calculation:
**Total energy**: -1.285 eV/atom

abc: 10.055 10.055 10.055
angles: 137.86 137.86 61.12
Positions (direct):
Cs1 0.000 0.500 0.500
Cs2 0.204 0.204 0.000
Cs3 0.500 0.000 0.500
Cs4 0.796 0.796 0.000
Zn1 0.424 0.424 0.000
Zn2 0.576 0.576 0.000
Au1 0.000 0.000 0.000

This record from Alexandria via LeMat-Bulk describes a relaxed structure of NdHoTm2. The functional is PBE-GGA.

Values from the calculation:
**E above lowest polymorph**: 9.0 meV/atom
**Total energy**: -4.554 eV/atom

abc: 6.700 6.700 6.700
angles: 148.59 65.24 124.43
Positions (direct):
Nd1 0.000 0.000 0.000
Ho1 0.496 0.996 0.500
Tm1 0.415 0.663 0.752
Tm2 0.911 0.663 0.248

This record from Alexandria via LeMat-Bulk describes a relaxed structure of PmZnCdPt. The functional is PBE-GGA.

Values from the calculation:
**Total energy**: -3.796 eV/atom

abc: 4.895 4.895 4.895
angles: 60.00 60.00 60.00
Positions (direct):
Pm1 0.000 0.000 0.000
Zn1 0.750 0.750 0.750
Cd1 0.500 0.500 0.500
Pt1 0.250 0.250 0.250

This record from Alexandria via LeMat-Bulk describes a relaxed structure of CaNbMo3. The functional is PBE-GGA.

Values from the calculation:
**E above lowest polymorph**: 0.0 meV/atom
**Total energy**: -7.487 eV/atom

abc: 4.868 4.868 4.868
angles: 90.00 90.00 90.00
Positions (direct):
Ca1 0.000 0.000 0.000
Nb1 0.500 0.500 0.500
Mo1 0.000 0.500 0.500
Mo2 0.500 0.000 0.500
Mo3 0.500 0.500 0.000